[1]
# HfTl2GeAu

An optimized crystal structure of HfTl2GeAu (PBE-GGA, Alexandria).

Computed properties:
Magnetization   0.000 μB/atom
Calculated volume   137.6 Å³/f.u.
ΔH_f (0 K)   391 kJ/mol of formula units

Lattice parameters (Å, degrees): 5.3719 4.7677 5.3719 90.00 90.00 90.00
Element x y z (fractional)
Hf (0.5000, 0.5000, 0.5000)
Tl (0.0000, 0.0000, 0.5000)
Tl (0.5000, 0.0000, 0.0000)
Au (0.0000, 0.5000, 0.0000)
Ge (0.0000, 0.0000, 0.0000)

[2]
# AgAsCl2

An optimized crystal structure of AgAsCl2 (PBE-GGA, Alexandria).

Computed properties:
Magnetization   0.000 μB/atom
Calculated volume   98.3 Å³/f.u.
Offset from the most stable computed form   93.9 meV/atom

Lattice parameters (Å, degrees): 8.5182 8.5182 8.5182 25.16 25.16 25.16
Element x y z (fractional)
As (0.7603, 0.7603, 0.7603)
Ag (0.4927, 0.4927, 0.4927)
Cl (0.0273, 0.0273, 0.0273)
Cl (0.2196, 0.2196, 0.2196)

[3]
# SrCo2

An optimized crystal structure of SrCo2 (PBE-GGA, Alexandria).

Computed properties:
Magnetization   1.039 μB/atom
Calculated volume   58.1 Å³/f.u.
ΔH_f (0 K)   124 kJ/mol of formula units

Lattice parameters (Å, degrees): 5.8436 5.8436 5.8436 147.26 147.26 46.98
Last column: magnetic moment on the atom in μB.
Element x y z (fractional)
Co (0.2747, 0.2747, 0.0000)  1.71
Co (0.7253, 0.7253, 0.0000)  1.71
Sr (0.0000, 0.0000, 0.0000)  -0.07

[4]
# Tl3Zn2Hg8

An optimized crystal structure of Tl3Zn2Hg8 (PBE-GGA, Alexandria).

Computed properties:
Magnetization   0.000 μB/atom
Calculated volume   346.6 Å³/f.u.
ΔH_f (0 K)   52 kJ/mol of formula units

Lattice parameters (Å, degrees): 3.4700 11.4253 8.7575 93.45 89.99 89.99
Element x y z (fractional)
Tl (0.5000, 0.0000, 0.0000)
Tl (0.0000, 0.2682, 0.0345)
Tl (0.0000, 0.7318, 0.9655)
Zn (0.5001, 0.7108, 0.4039)
Zn (0.4999, 0.2892, 0.5961)
Hg (0.0000, 0.3941, 0.3814)
Hg (0.0000, 0.6059, 0.6186)
Hg (0.0000, 0.8887, 0.3026)
Hg (0.0000, 0.1113, 0.6974)
Hg (0.5000, 0.8708, 0.6631)
Hg (0.5000, 0.4544, 0.8344)
Hg (0.5000, 0.5456, 0.1656)
Hg (0.5000, 0.1292, 0.3369)

[5]
# CoRe2Ru

An optimized crystal structure of CoRe2Ru (PBE-GGA, Alexandria).

Computed properties:
Magnetization   0.000 μB/atom
Calculated volume   54.3 Å³/f.u.
ΔH_f (0 K)   18 kJ/mol of formula units
Offset from the most stable computed form   104.7 meV/atom

Lattice parameters (Å, degrees): 2.6819 2.6819 7.5499 90.00 90.00 90.01
Element x y z (fractional)
Co (0.5000, 0.5000, 0.7500)
Re (0.0000, 0.0000, 0.9895)
Re (0.0000, 0.0000, 0.5105)
Ru (0.5000, 0.5000, 0.2500)

[6]
# Be2Mo2Ir

An optimized crystal structure of Be2Mo2Ir (PBE-GGA, Alexandria).

Computed properties:
Magnetization   0.000 μB/atom
Calculated volume   61.6 Å³/f.u.
ΔH_f (0 K)   -113 kJ/mol of formula units

Lattice parameters (Å, degrees): 5.9208 5.9208 3.5121 90.00 90.00 90.00
Element x y z (fractional)
Be (0.3723, 0.8723, 0.0000)
Be (0.8723, 0.6277, 0.0000)
Be (0.6277, 0.1277, 0.0000)
Be (0.1277, 0.3723, 0.0000)
Mo (0.1690, 0.6690, 0.5000)
Mo (0.6690, 0.8310, 0.5000)
Mo (0.8310, 0.3310, 0.5000)
Mo (0.3310, 0.1690, 0.5000)
Ir (0.0000, 0.0000, 0.0000)
Ir (0.5000, 0.5000, 0.0000)